Entry 1:
# Li4AlCl | the Alexandria database | SCAN | single point on PBEsol structure
data_Li4AlCl
_chemical_formula_sum 'Li16 Al4 Cl4'
_space_group_name_H-M_alt 'F -4 3 m'
_space_group_IT_number 216
_space_group_name_Hall 'F -4 2 3'
_cell_length_a 7.7228
_cell_length_b 7.7228
_cell_length_c 7.7228
_cell_angle_alpha 90.00
_cell_angle_beta 90.00
_cell_angle_gamma 90.00
loop_
_atom_site_label
_atom_site_fract_x
_atom_site_fract_y
_atom_site_fract_z
_atom_site_occupancy
Li1 0.1235 0.1235 0.3765 1
Al1 0.2500 0.2500 0.7500 1
Cl1 0.0000 0.0000 0.0000 1
# Theoretical density in Mg/m³: 1.30
# Total DFT energy (no corrections) in eV/atom: -4.23
# Uncorrected formation energy in meV per atom: -18
# Calculated volume in Å³ per atom: 19.19
# Size of the total moment in μB per atom: 0.00

Entry 2:
# LaCrB2 | the Alexandria database | SCAN | single point on PBEsol structure
data_LaCrB2
_chemical_formula_sum 'La4 Cr4 B8'
_space_group_name_H-M_alt 'I 41/a m d'
_space_group_IT_number 141
_cell_length_a 4.2097
_cell_length_b 4.2097
_cell_length_c 13.8236
_cell_angle_alpha 90.00
_cell_angle_beta 90.00
_cell_angle_gamma 90.00
loop_
_space_group_symop_operation_xyz
'x,y,z'
'-x,-y,-z'
'-y+1/4,x+3/4,z+1/4'
'y+1/4,-x+3/4,-z+1/4'
'-x+1/2,-y,z+1/2'
'x+1/2,y,-z+1/2'
'y+1/4,-x+1/4,z+3/4'
'-y+1/4,x+1/4,-z+3/4'
'x,-y,-z'
'-x,y,z'
'-y+1/4,-x+1/4,-z+3/4'
'y+1/4,x+1/4,z+3/4'
'-x+1/2,y,-z+1/2'
'x+1/2,-y,z+1/2'
'y+1/4,x+3/4,-z+1/4'
'-y+1/4,-x+3/4,z+1/4'
'x+1/2,y+1/2,z+1/2'
'-x+1/2,-y+1/2,-z+1/2'
'-y+3/4,x+1/4,z+3/4'
'y+3/4,-x+1/4,-z+3/4'
'-x,-y+1/2,z'
'x,y+1/2,-z'
'y+3/4,-x+3/4,z+1/4'
'-y+3/4,x+3/4,-z+1/4'
'x+1/2,-y+1/2,-z+1/2'
'-x+1/2,y+1/2,z+1/2'
'-y+3/4,-x+3/4,-z+1/4'
'y+3/4,x+3/4,z+1/4'
'-x,y+1/2,-z'
'x,-y+1/2,z'
'y+3/4,x+1/4,-z+3/4'
'-y+3/4,-x+1/4,z+3/4'
loop_
_atom_site_label
_atom_site_fract_x
_atom_site_fract_y
_atom_site_fract_z
_atom_site_occupancy
La1 0.0000 0.2500 0.3750 1
Cr1 0.0000 0.2500 0.8750 1
B1 0.0000 0.0000 0.0000 1
# Theoretical density in Mg/m³: 5.76
# Energy of formation in meV/atom: 181
# Total DFT energy (no corrections) in eV/atom: -18.91
# Calculated volume in Å³ per atom: 15.31
# Size of the total moment in μB per atom: 0.41

Entry 3:
# BeTeAu3 | the Alexandria database | SCAN | single point on PBEsol structure
data_BeTeAu3
_chemical_formula_sum 'Be1 Te1 Au3'
_space_group_name_H-M_alt 'P m -3 m'
_space_group_IT_number 221
_space_group_name_Hall '-P 4 2 3'
_cell_length_a 5.1690
_cell_length_b 5.1690
_cell_length_c 5.1690
_cell_angle_alpha 90.00
_cell_angle_beta 90.00
_cell_angle_gamma 90.00
loop_
_atom_site_label
_atom_site_fract_x
_atom_site_fract_y
_atom_site_fract_z
_atom_site_occupancy
Be1 0.0000 0.0000 0.0000 1
Te1 0.5000 0.5000 0.5000 1
Au1 0.0000 0.5000 0.5000 1
# Theoretical density in Mg/m³: 8.75
# Total DFT energy (no corrections) in eV/atom: -48.83
# Uncorrected formation energy in meV per atom: 990
# Calculated volume in Å³ per atom: 27.62
# Size of the total moment in μB per atom: 0.00

Entry 4:
# CaTcRu2 | the Alexandria database | SCAN | single point on PBEsol structure
data_CaTcRu2
_chemical_formula_sum 'Ca1 Tc1 Ru2'
_space_group_name_H-M_alt 'P m m m'
_space_group_IT_number 47
_space_group_name_Hall '-P 2 2'
_cell_length_a 2.9274
_cell_length_b 4.4876
_cell_length_c 4.6713
_cell_angle_alpha 90.00
_cell_angle_beta 90.00
_cell_angle_gamma 90.00
loop_
_atom_site_label
_atom_site_fract_x
_atom_site_fract_y
_atom_site_fract_z
_atom_site_occupancy
Ca1 0.0000 0.0000 0.0000 1
Tc1 0.5000 0.0000 0.5000 1
Ru1 0.0000 0.5000 0.5000 1
Ru2 0.5000 0.5000 0.0000 1
# ΔE to the lowest computed polymorph in eV/atom: 0.215
# Theoretical density in Mg/m³: 9.21
# Energy of formation in meV/atom: 660
# Total DFT energy (no corrections) in eV/atom: -27.93
# Calculated volume in Å³ per atom: 15.34
# Size of the total moment in μB per atom: 0.14

Entry 5:
# GaReAg2W | the Alexandria database | SCAN | single point on PBEsol structure
data_GaReAg2W
_chemical_formula_sum 'Ga1 Re1 Ag2 W1'
_space_group_name_H-M_alt 'P 4/m m m'
_space_group_IT_number 123
_space_group_name_Hall '-P 4 2'
_cell_length_a 4.8713
_cell_length_b 4.8713
_cell_length_c 4.7410
_cell_angle_alpha 90.00
_cell_angle_beta 90.00
_cell_angle_gamma 90.00
loop_
_atom_site_label
_atom_site_fract_x
_atom_site_fract_y
_atom_site_fract_z
_atom_site_occupancy
Ga1 0.0000 0.0000 0.0000 1
Re1 0.5000 0.5000 0.0000 1
Ag1 0.0000 0.5000 0.5000 1
W1 0.0000 0.0000 0.5000 1
# Theoretical density in Mg/m³: 9.68
# Energy of formation in meV/atom: 2429
# Total DFT energy (no corrections) in eV/atom: -41.54
# Calculated volume in Å³ per atom: 22.50
# Size of the total moment in μB per atom: 0.65

Entry 6:
# AsP2RhS | the Alexandria database | SCAN | single point on PBEsol structure
data_AsP2RhS
_chemical_formula_sum 'As1 P2 Rh1 S1'
_space_group_name_H-M_alt 'P 4/m m m'
_space_group_IT_number 123
_space_group_name_Hall '-P 4 2'
_cell_length_a 4.4193
_cell_length_b 4.4193
_cell_length_c 4.8169
_cell_angle_alpha 90.00
_cell_angle_beta 90.00
_cell_angle_gamma 90.00
loop_
_atom_site_label
_atom_site_fract_x
_atom_site_fract_y
_atom_site_fract_z
_atom_site_occupancy
As1 0.0000 0.0000 0.0000 1
P1 0.0000 0.5000 0.5000 1
Rh1 0.5000 0.5000 0.5000 1
S1 0.5000 0.5000 0.0000 1
# Theoretical density in Mg/m³: 4.80
# Total DFT energy (no corrections) in eV/atom: -16.15
# Uncorrected formation energy in meV per atom: 727
# Calculated volume in Å³ per atom: 18.81
# Size of the total moment in μB per atom: 0.00

Which value of total DFT energy (no corrections) does entry 6 give?
-16.15 eV/atom